Entry 1:
DFT (GGA-PBE) results for NaPm2Pr after structural relaxation.

Cell lengths 3.608, 3.608, 10.888 Å; angles 90.00, 90.00, 90.00 degrees
Space group P4/mmm (No. 123)
Asymmetric unit:
Na  0.000  0.000  0.000 [1 per cell]
Pm  0.500  0.500  0.264 [2 per cell]
Pr  0.000  0.000  0.500 [1 per cell]

Summary:
**Mass density**: 5.32 Mg/m³
**Formation enthalpy at 0 K**: 0.11 eV per atom
**DOS(E_F)**: 1.019 states/eV/atom

Entry 2:
DFT (GGA-PBE) results for NaPmPrRu after structural relaxation.

Cell lengths 7.345, 7.345, 7.345 Å; angles 90.00, 90.00, 90.00 degrees
Space group F-43m (No. 216)
Asymmetric unit:
Na  0.000  0.000  0.000 [4 per cell]
Pm  0.250  0.250  0.750 [4 per cell]
Pr  0.250  0.250  0.250 [4 per cell]
Ru  0.000  0.000  0.500 [4 per cell]

Summary:
**Mass density**: 6.87 Mg/m³
**Formation enthalpy at 0 K**: 0.07 eV per atom
**DOS(E_F)**: 0.759 states/eV/atom